# 1
Computed, not measured: a relaxed structure of CsAsPb at the PBE-GGA level of DFT.

a = 4.4554 Å, b = 4.4554 Å, c = 6.8686 Å
α = 90.00°, β = 90.00°, γ = 120.00°
Space group P3m1 (No. 156)
Unique sites:
Cs  0.0000  0.0000  0.0000 x1
As  0.3333  0.6667  0.6524 x1
Pb  0.6667  0.3333  0.4603 x1

- DFT total energy: -3.406 eV per atom
- Formation enthalpy at 0 K: -0.335 eV/atom

***

# 2
Computed, not measured: a relaxed structure of Ca3FeBr at the PBE-GGA level of DFT.

a = 5.4616 Å, b = 5.4616 Å, c = 5.4616 Å
α = 90.00°, β = 90.00°, γ = 90.00°
Space group Pm-3m (No. 221)
Unique sites:
Ca  0.0000  0.0000  0.5000 x3
Fe  0.0000  0.0000  0.0000 x1
Br  0.5000  0.5000  0.5000 x1

- ΔE_f (raw): 0.01 eV/atom
- Energy above the lowest structure with this stoichiometry: 0 meV/atom
- DFT total energy: -3.214 eV per atom

***

# 3
Computed, not measured: a relaxed structure of BaScRe at the PBE-GGA level of DFT.

a = 6.8711 Å, b = 6.8711 Å, c = 6.8711 Å
α = 90.00°, β = 90.00°, γ = 90.00°
Space group F-43m (No. 216)
Unique sites:
Ba  0.0000  0.0000  0.0000 x4
Sc  0.0000  0.0000  0.5000 x4
Re  0.2500  0.2500  0.2500 x4

- Energy above the lowest structure with this stoichiometry: 328 meV/atom
- DFT total energy: -5.959 eV per atom
- Formation enthalpy at 0 K: 0.941 eV/atom

***

# 4
Computed, not measured: a relaxed structure of Al2TcMo at the PBE-GGA level of DFT.

a = 2.7396 Å, b = 4.2109 Å, c = 5.2816 Å
α = 90.00°, β = 101.47°, γ = 90.00°
Space group P2/m (No. 10)
Unique sites:
Al  0.2221  0.0000  0.2541 x2
Tc  0.0000  0.5000  0.5000 x1
Mo  0.5000  0.5000  0.0000 x1

- Energy above the lowest structure with this stoichiometry: 197 meV/atom
- DFT total energy: -7.334 eV per atom
- Formation enthalpy at 0 K: -0.164 eV/atom

***

Q: Which formula does entry 1 have?
A: CsAsPb

***

Q: The lowest DFT total energy belongs to which entry?
A: Al2TcMo